[1]
Compound: LiMnZn2
Source: the Alexandria database
Functional: PBE
Structure: relaxed

## Properties
Final energy, eV/atom: -3.3650
Calculated volume, Å³/atom: 13.921
Formation energy, eV/f.u.: 0.2
SG: No. 160

Cell lengths 2.6849, 2.6849, 9.0529 Å; angles 81.47, 81.47, 60.00 degrees
Each line ends with the local moment (μB).
Sites, in units of the cell vectors:
Li 0.4996 0.4996 0.5013  -0.01
Mn 0.6668 0.6668 0.9996  2.47
Zn 0.0811 0.0811 0.7567  -0.04
Zn 0.2525 0.2525 0.2425  -0.04

---

[2]
Compound: Li3MnZn12
Source: the Alexandria database
Functional: PBE
Structure: relaxed

## Properties
Final energy, eV/atom: -1.9821
Calculated volume, Å³/atom: 14.482
Formation energy, eV/f.u.: -1.5
SG: No. 123

Cell lengths 3.8697, 3.8697, 15.4741 Å; angles 90.00, 90.00, 90.00 degrees
Each line ends with the local moment (μB).
Sites, in units of the cell vectors:
Li 0.0000 0.0000 0.2460  -0.01
Li 0.0000 0.0000 0.5000  0.00
Li 0.0000 0.0000 0.7540  -0.01
Mn 0.0000 0.0000 0.0000  2.96
Zn 0.5000 0.5000 0.0000  -0.07
Zn 0.5000 0.5000 0.2485  0.00
Zn 0.5000 0.5000 0.5000  0.00
Zn 0.5000 0.5000 0.7515  0.00
Zn 0.5000 0.0000 0.1213  -0.04
Zn 0.5000 0.0000 0.3728  0.00
Zn 0.5000 0.0000 0.6272  0.00
Zn 0.5000 0.0000 0.8787  -0.04
Zn 0.0000 0.5000 0.1213  -0.04
Zn 0.0000 0.5000 0.3728  0.00
Zn 0.0000 0.5000 0.6272  0.00
Zn 0.0000 0.5000 0.8787  -0.04

---

[3]
Compound: LiMnZn3
Source: the Alexandria database
Functional: PBE
Structure: relaxed

## Properties
Final energy, eV/atom: -2.5469
Calculated volume, Å³/atom: 21.718
Formation energy, eV/f.u.: 2.2
Energy relative to the lowest polymorph listed for this composition, meV per atom: 0
SG: No. 221

Cell lengths 4.7708, 4.7708, 4.7708 Å; angles 90.00, 90.00, 90.00 degrees
Each line ends with the local moment (μB).
Sites, in units of the cell vectors:
Zn 0.0000 0.5000 0.0000  0.01
Zn 0.0000 0.0000 0.5000  0.01
Zn 0.5000 0.0000 0.0000  -0.03
Mn 0.0000 0.0000 0.0000  2.78
Li 0.5000 0.5000 0.5000  -0.01